# PBE with a Hubbard U NpCoO6, relaxed
data_NpCoO6
_cell_length_a 4.900
_cell_length_b 5.409
_cell_length_c 4.898
_cell_angle_alpha 82.90
_cell_angle_beta 74.16
_cell_angle_gamma 63.07
_symmetry_space_group_name_H-M 'P 1'
_symmetry_Int_Tables_number 1
loop_
_symmetry_equiv_pos_as_xyz
'x,y,z'
loop_
_atom_site_label
_atom_site_fract_x
_atom_site_fract_y
_atom_site_fract_z
Np1 0.000 0.000 0.000
O1 0.876 0.741 0.250
O2 0.124 0.259 0.750
O3 0.727 0.000 0.722
O4 0.617 0.259 0.250
O5 0.383 0.741 0.750
O6 0.273 0.000 0.278
Co1 0.500 0.000 0.500
# E   -59.0 eV for the cell shown
# N(E_F)   0.36 states/eV/cell